No. 1
meta-GGA SCAN CoMoPb, single point on PBEsol structure; DOS(E_F) = 2.6 states/eV per cell; energy relative to the elements = 0.813 eV/atom; V = 17.1 Å³ per atom; E = -41.8440 eV/atom
1.0
3.058 0.000 0.000
-1.529 2.649 0.000
0.000 0.000 6.333
Co Mo Pb
1 1 1
direct
0.000 0.000 0.000
0.333 0.667 0.746
0.667 0.333 0.354

***

No. 2
meta-GGA SCAN Co3MoPd, single point on PBEsol structure; DOS(E_F) = 4.1 states/eV per cell; energy relative to the elements = 1.573 eV/atom; V = 15.5 Å³ per atom; E = -22.3412 eV/atom
1.0
4.264 0.000 0.000
0.000 4.264 0.000
0.000 0.000 4.264
Co Mo Pd
3 1 1
direct
0.000 0.000 0.500
0.000 0.500 0.000
0.500 0.000 0.000
0.000 0.000 0.000
0.500 0.500 0.500

***

No. 3
meta-GGA SCAN Co2MoPt, single point on PBEsol structure; DOS(E_F) = 3.6 states/eV per cell; distance to the lowest polymorph of the same formula = 0.2965 eV/atom; energy relative to the elements = 0.176 eV/atom; V = 12.5 Å³ per atom; E = -34.7454 eV/atom
1.0
0.000 2.921 2.921
2.921 0.000 2.921
2.921 2.921 0.000
Co Mo Pt
2 1 1
direct
0.250 0.250 0.250
0.750 0.750 0.750
0.000 0.000 0.000
0.500 0.500 0.500

***

> Number 3 is which compound?

Co2MoPt